# AcFe2IO8

AcFe2IO8 after structural relaxation (PBE with a Hubbard U, the Alexandria database). Values from VASP.

Electronic total energy (eV per cell): -71.45
Magnetic moment (μB per formula unit): 10.0
Space group: P-1, No. 2
Volume (Å³/atom): 13.93

```
&SYSTEM
  ibrav = 0, nat = 12, ntyp = 4
/
ATOMIC_SPECIES
Ac 227.00 Ac.upf
Fe 55.84 Fe.upf
I 126.90 I.upf
O 16.00 O.upf
ATOMIC_POSITIONS crystal
Ac 0.000 0.000 0.000
Fe 0.487 0.517 0.695
Fe 0.513 0.483 0.305
I 0.000 0.000 0.500
O 0.186 0.218 0.282
O 0.210 0.204 0.723
O 0.311 0.703 0.493
O 0.424 0.623 0.963
O 0.576 0.377 0.037
O 0.689 0.297 0.507
O 0.790 0.796 0.277
O 0.814 0.782 0.718
CELL_PARAMETERS angstrom
4.716 0.000 0.000
-0.198 4.736 0.000
-0.117 -0.044 7.486
```